Record 1
The following is a PBE calculation of a relaxed structure of BaSe2O6, from Alexandria via LeMat-Bulk.

Structure (POSCAR):
```
BaSe2O6
1.0
-4.177 5.074 -0.480
-3.776 -4.900 5.076
2.470 2.479 5.463
Ba Se O
2 4 12
Direct
0.810 0.144 0.173
0.190 0.856 0.827
0.301 0.374 0.795
0.699 0.626 0.205
0.136 0.446 0.437
0.864 0.554 0.563
0.408 0.170 0.325
0.592 0.830 0.675
0.237 0.078 0.407
0.763 0.922 0.593
0.251 0.860 0.316
0.749 0.140 0.684
0.423 0.911 0.209
0.577 0.089 0.791
0.148 0.186 0.908
0.852 0.814 0.092
0.755 0.471 0.077
0.245 0.529 0.923
```

Summary:
Space-group type: P-1 (2)
Energy relative to the lowest polymorph listed for this composition, meV per atom: 38
Formation energy without anion corrections, eV/atom: -0.83



Record 2
The following is a PBE calculation of a relaxed structure of Ba2SeO, from Alexandria via LeMat-Bulk.

Structure (POSCAR):
```
Ba2SeO
1.0
-0.626 3.258 3.731
-4.942 -0.155 -0.694
-0.665 -7.471 6.413
Ba Se O
4 2 2
Direct
0.000 0.500 0.844
0.000 0.000 0.500
0.500 0.000 0.156
0.500 0.500 0.500
0.500 0.000 0.806
0.000 0.500 0.194
0.500 0.000 0.408
0.000 0.500 0.592
```

Summary:
Space-group type: P4/nmm (129)
Energy relative to the lowest polymorph listed for this composition, meV per atom: 0
Formation energy without anion corrections, eV/atom: -2.21



Number 1: DFT total energy -92.15 eV for the cell shown. Number 2: DFT total energy -42.29 eV for the cell shown.